10
Lattice="6.982 0.000 0.000 0.000 6.982 0.000 0.000 0.000 4.491" Properties=species:S:1:pos:R:3 comment="Y2AlZn2, PBEsol geometry, DFT SCAN" formation_energy_mev_per_atom=-478 total_energy_ev_per_cell=-185.72 magnetic_moment_mub_per_fu=0.22 pbc="T T T"
Y 1.220 2.271 0.000
Y 2.271 5.762 0.000
Y 4.710 1.220 0.000
Y 5.762 4.710 0.000
Al 0.000 0.000 2.246
Al 3.491 3.491 2.246
Zn 0.895 4.386 2.246
Zn 2.596 0.895 2.246
Zn 4.386 6.086 2.246
Zn 6.086 2.596 2.246

=====

8
Lattice="-2.220 2.220 8.977 2.220 -2.220 8.977 2.220 2.220 -8.977" Properties=species:S:1:pos:R:3 comment="YAl2Zn, PBEsol geometry, DFT SCAN" formation_energy_mev_per_atom=17 total_energy_ev_per_cell=-113.58 magnetic_moment_mub_per_fu=0.00 pbc="T T T"
Y 0.000 0.000 0.000
Y 0.000 2.220 4.489
Al 1.110 -0.622 6.733
Al 1.598 1.110 2.244
Al 1.110 2.843 -2.244
Al 0.622 1.110 11.222
Zn 2.220 0.000 4.489
Zn 0.000 0.000 8.977

=====

6
Lattice="0.000 3.835 3.835 3.835 0.000 3.835 3.835 3.835 0.000" Properties=species:S:1:pos:R:3 comment="YAl4Zn, PBEsol geometry, DFT SCAN" formation_energy_mev_per_atom=-132 total_energy_ev_per_cell=-73.16 magnetic_moment_mub_per_fu=0.58 pbc="T T T"
Y 0.000 0.000 0.000
Al 2.878 2.878 2.878
Al 4.793 4.793 2.878
Al 4.793 2.878 4.793
Al 2.878 4.793 4.793
Zn 5.753 5.753 5.753

=====

4
Lattice="4.386 0.000 0.000 0.000 1.855 5.697 0.000 -1.855 5.697" Properties=species:S:1:pos:R:3 comment="Y2AlZn, PBEsol geometry, DFT SCAN" formation_energy_mev_per_atom=-436 total_energy_ev_per_cell=-78.69 e_above_lowest_polymorph_mev_per_atom=28 magnetic_moment_mub_per_fu=0.20 pbc="T T T"
Y 0.000 0.000 0.000
Y 2.193 0.000 3.483
Al 2.193 0.000 6.688
Zn 0.000 0.000 8.218